Record 1
## TmZn6CuPd (PBE)

Data for a relaxed structure of TmZn6CuPd.

Geometry as POSCAR:
```
TmZn6CuPd
1.0
5.189 0.000 0.000
0.000 9.713 0.000
-2.594 -4.856 6.897
Tm Zn Cu Pd
2 12 2 2
direct
0.887 0.637 0.773
0.113 0.363 0.227
0.560 0.810 0.119
0.911 0.161 0.821
0.904 0.140 0.309
0.405 0.669 0.309
0.405 0.140 0.309
0.904 0.669 0.309
0.440 0.190 0.881
0.089 0.839 0.179
0.096 0.860 0.691
0.595 0.331 0.691
0.595 0.860 0.691
0.096 0.331 0.691
0.500 0.500 0.000
0.500 0.000 0.000
0.500 0.000 0.500
0.000 0.000 0.500
```

Calculated values
calculated total energy = -2.3330 eV per atom
E_form = 0.05 eV/atom


Record 2
## Ho8Ge5Se (PBE)

Data for a relaxed structure of Ho8Ge5Se.

Geometry as POSCAR:
```
Ho8Ge5Se
1.0
-5.777 -4.670 1.567
-0.239 1.968 -7.329
6.555 -3.537 1.470
Ho Ge Se
8 5 1
direct
0.125 0.751 0.012
0.988 0.114 0.739
0.751 0.245 0.367
0.633 0.384 0.878
0.494 0.616 0.249
0.626 0.886 0.875
0.261 0.249 0.374
0.122 0.755 0.506
0.005 0.377 0.127
0.873 0.878 0.249
0.751 0.623 0.628
0.500 0.000 0.500
0.372 0.122 0.995
0.250 0.500 0.750
```

Calculated values
calculated total energy = -5.4569 eV per atom


Record 3
## HoZrZnCo (PBE)

Data for a relaxed structure of HoZrZnCo.

Geometry as POSCAR:
```
HoZrZnCo
1.0
4.736 0.000 0.000
2.368 4.102 0.000
2.368 1.367 3.867
Zn Co Ho Zr
1 1 1 1
direct
0.000 0.000 0.000
0.500 0.500 0.500
0.750 0.750 0.750
0.250 0.250 0.250
```

Calculated values
calculated total energy = -5.5580 eV per atom
E_form = -0.18 eV/atom


Record 4
## Be2SbW (PBE)

Data for a relaxed structure of Be2SbW.

Geometry as POSCAR:
```
Be2SbW
1.0
-2.306 5.769 -4.773
-4.987 4.668 -3.838
-3.488 6.687 -2.122
Sb W Be
1 1 2
direct
0.502 0.502 0.502
0.740 0.740 0.740
0.993 0.993 0.993
0.265 0.265 0.265
```

Calculated values
calculated total energy = -5.3734 eV per atom


Record 5
## Pd2NCl2 (PBE)

Data for a relaxed structure of Pd2NCl2.

Geometry as POSCAR:
```
Pd2NCl2
1.0
4.993 0.000 0.000
0.000 4.993 0.000
2.497 2.497 3.830
N Pd Cl
1 2 2
direct
0.000 0.000 0.000
0.750 0.250 0.500
0.250 0.750 0.500
0.278 0.278 0.444
0.722 0.722 0.556
```

Calculated values
calculated total energy = -3.3716 eV per atom
energy relative to the lowest polymorph listed for this composition = 0.000 eV per atom


Record 6
## TeP2Pb (PBE)

Data for a relaxed structure of TeP2Pb.

Geometry as POSCAR:
```
TeP2Pb
1.0
8.590 -0.007 -0.019
-4.775 4.286 0.024
-0.960 0.907 2.650
P Pb Te
2 1 1
direct
0.000 0.000 0.000
0.500 0.000 0.500
0.000 0.500 0.500
0.500 0.500 0.000
```

Calculated values
calculated total energy = -4.0112 eV per atom
energy relative to the lowest polymorph listed for this composition = 0.299 eV per atom


Question: Which value of calculated total energy does entry 4 give?
Answer: -5.3734 eV per atom